Entry 1:
# ZrAlRe (PBE, relaxed)
data_ZrAlRe
_chemical_formula_sum 'Zr1 Al1 Re1'
_cell_length_a 4.425
_cell_length_b 4.425
_cell_length_c 4.425
_cell_angle_alpha 60.00
_cell_angle_beta 60.00
_cell_angle_gamma 60.00
_space_group_name_H-M_alt 'P 1'
_space_group_IT_number 1
_space_group_name_Hall 'P 1'
loop_
_atom_site_label
_atom_site_fract_x
_atom_site_fract_y
_atom_site_fract_z
Zr1 0.000 0.000 0.000
Re1 0.250 0.250 0.250
Al1 0.500 0.500 0.500
# total magnetic moment: 0.00 μB/cell
# crystal system: cubic
# energy of formation from the pure elements: 0.2166 eV/atom
# E: -8.0297 eV per atom

---

Entry 2:
# BaMnZn2As (PBE, relaxed)
data_BaMnZn2As
_chemical_formula_sum 'Ba1 Mn1 Zn2 As1'
_cell_length_a 4.812
_cell_length_b 5.416
_cell_length_c 4.812
_cell_angle_alpha 90.00
_cell_angle_beta 90.00
_cell_angle_gamma 90.00
_space_group_name_H-M_alt 'P 1'
_space_group_IT_number 1
_space_group_name_Hall 'P 1'
loop_
_atom_site_label
_atom_site_fract_x
_atom_site_fract_y
_atom_site_fract_z
Zn1 0.500 0.000 0.000
Zn2 0.000 0.000 0.500
Mn1 0.000 0.000 0.000
As1 0.500 0.500 0.500
Ba1 0.000 0.500 0.000
# total magnetic moment: 0.20 μB/cell
# crystal system: tetragonal
# energy of formation from the pure elements: 0.6577 eV/atom
# E: -3.0003 eV per atom

---

Entry 3:
# Ni2PAu (PBE, relaxed)
data_Ni2PAu
_chemical_formula_sum 'Ni2 P1 Au1'
_cell_length_a 8.394
_cell_length_b 8.394
_cell_length_c 8.394
_cell_angle_alpha 19.23
_cell_angle_beta 19.23
_cell_angle_gamma 19.23
_space_group_name_H-M_alt 'P 1'
_space_group_IT_number 1
_space_group_name_Hall 'P 1'
loop_
_atom_site_label
_atom_site_fract_x
_atom_site_fract_y
_atom_site_fract_z
Ni1 0.754 0.754 0.754
Au1 0.254 0.254 0.254
Ni2 0.010 0.010 0.010
P1 0.482 0.482 0.482
# total magnetic moment: 0.00 μB/cell
# crystal system: trigonal
# energy of formation from the pure elements: 0.1285 eV/atom
# E: -4.9340 eV per atom

---

Entry 4:
# Rb2PmB2O6 (PBE, relaxed)
data_Rb2PmB2O6
_chemical_formula_sum 'Rb2 Pm1 B2 O6'
_cell_length_a 5.640
_cell_length_b 5.641
_cell_length_c 7.293
_cell_angle_alpha 112.75
_cell_angle_beta 90.00
_cell_angle_gamma 120.00
_space_group_name_H-M_alt 'P 1'
_space_group_IT_number 1
_space_group_name_Hall 'P 1'
loop_
_atom_site_label
_atom_site_fract_x
_atom_site_fract_y
_atom_site_fract_z
O1 0.235 0.471 0.282
O2 0.765 0.954 0.718
B1 0.094 0.188 0.283
O3 0.235 0.046 0.282
Rb1 0.292 0.585 0.877
Rb2 0.708 0.415 0.123
Pm1 0.500 0.000 0.500
O4 0.189 0.954 0.718
O5 0.765 0.529 0.718
B2 0.906 0.812 0.717
O6 0.811 0.046 0.282
# total magnetic moment: 1.02 μB/cell
# raw formation energy: -2413 meV/atom
# crystal system: trigonal
# E: -6.9398 eV per atom

---

Entry 5:
# SrY4Ta (PBE, relaxed)
data_SrY4Ta
_chemical_formula_sum 'Sr1 Y4 Ta1'
_cell_length_a 6.484
_cell_length_b 6.484
_cell_length_c 6.484
_cell_angle_alpha 60.00
_cell_angle_beta 60.00
_cell_angle_gamma 60.00
_space_group_name_H-M_alt 'P 1'
_space_group_IT_number 1
_space_group_name_Hall 'P 1'
loop_
_atom_site_label
_atom_site_fract_x
_atom_site_fract_y
_atom_site_fract_z
Y1 0.885 0.372 0.372
Sr1 0.750 0.750 0.750
Y2 0.372 0.885 0.372
Y3 0.372 0.372 0.885
Y4 0.372 0.372 0.372
Ta1 0.000 0.000 0.000
# total magnetic moment: 2.21 μB/cell
# crystal system: cubic
# energy of formation from the pure elements: 0.7603 eV/atom
# E: -5.8048 eV per atom

---

Entry 6:
# LaSm2Tm (PBE, relaxed)
data_LaSm2Tm
_chemical_formula_sum 'La1 Sm2 Tm1'
_cell_length_a 3.520
_cell_length_b 3.520
_cell_length_c 12.740
_cell_angle_alpha 82.06
_cell_angle_beta 82.06
_cell_angle_gamma 60.00
_space_group_name_H-M_alt 'P 1'
_space_group_IT_number 1
_space_group_name_Hall 'P 1'
loop_
_atom_site_label
_atom_site_fract_x
_atom_site_fract_y
_atom_site_fract_z
La1 0.000 0.000 0.000
Sm1 0.909 0.909 0.273
Tm1 0.500 0.500 0.500
Sm2 0.091 0.091 0.727
# total magnetic moment: 0.00 μB/cell
# crystal system: trigonal
# energy of formation from the pure elements: 0.1249 eV/atom
# E: -4.5844 eV per atom

---

Entry 7:
# ZrTcIr2 (PBE, relaxed)
data_ZrTcIr2
_chemical_formula_sum 'Zr1 Tc1 Ir2'
_cell_length_a 9.557
_cell_length_b 9.557
_cell_length_c 9.557
_cell_angle_alpha 16.95
_cell_angle_beta 16.95
_cell_angle_gamma 16.95
_space_group_name_H-M_alt 'P 1'
_space_group_IT_number 1
_space_group_name_Hall 'P 1'
loop_
_atom_site_label
_atom_site_fract_x
_atom_site_fract_y
_atom_site_fract_z
Zr1 0.748 0.748 0.748
Ir1 0.996 0.996 0.996
Ir2 0.248 0.248 0.248
Tc1 0.508 0.508 0.508
# total magnetic moment: 0.00 μB/cell
# crystal system: trigonal
# energy of formation from the pure elements: 0.0317 eV/atom
# E: -9.1273 eV per atom

---

Entry 8:
# PmPr7Tm2 (PBE, relaxed)
data_PmPr7Tm2
_chemical_formula_sum 'Pm1 Pr7 Tm2'
_cell_length_a 5.797
_cell_length_b 9.279
_cell_length_c 9.279
_cell_angle_alpha 121.65
_cell_angle_beta 90.00
_cell_angle_gamma 90.00
_space_group_name_H-M_alt 'P 1'
_space_group_IT_number 1
_space_group_name_Hall 'P 1'
loop_
_atom_site_label
_atom_site_fract_x
_atom_site_fract_y
_atom_site_fract_z
Pr1 0.500 0.500 0.500
Tm1 0.500 0.704 0.296
Pm1 0.000 0.000 0.000
Pr2 0.500 0.936 0.703
Pr3 0.500 0.297 0.064
Pr4 0.000 0.230 0.770
Tm2 0.500 0.296 0.704
Pr5 0.000 0.770 0.230
Pr6 0.500 0.703 0.936
Pr7 0.500 0.064 0.297
# total magnetic moment: 0.00 μB/cell
# crystal system: orthorhombic
# energy of formation from the pure elements: 0.6251 eV/atom
# E: -4.0899 eV per atom

---

Entry 9:
# PmTlSn (PBE, relaxed)
data_PmTlSn
_chemical_formula_sum 'Pm1 Tl1 Sn1'
_cell_length_a 3.830
_cell_length_b 3.830
_cell_length_c 6.395
_cell_angle_alpha 107.42
_cell_angle_beta 107.42
_cell_angle_gamma 90.00
_space_group_name_H-M_alt 'P 1'
_space_group_IT_number 1
_space_group_name_Hall 'P 1'
loop_
_atom_site_label
_atom_site_fract_x
_atom_site_fract_y
_atom_site_fract_z
Sn1 0.294 0.294 0.588
Pm1 0.618 0.618 0.236
Tl1 0.938 0.938 0.876
# total magnetic moment: 0.00 μB/cell
# crystal system: tetragonal
# energy of formation from the pure elements: -0.2880 eV/atom
# E: -3.9945 eV per atom

---

Entry 10:
# CsPrMgSe3 (PBE, relaxed)
data_CsPrMgSe3
_chemical_formula_sum 'Cs2 Pr2 Mg2 Se6'
_cell_length_a 4.417
_cell_length_b 9.862
_cell_length_c 10.549
_cell_angle_alpha 109.04
_cell_angle_beta 90.00
_cell_angle_gamma 90.00
_space_group_name_H-M_alt 'P 1'
_space_group_IT_number 1
_space_group_name_Hall 'P 1'
loop_
_atom_site_label
_atom_site_fract_x
_atom_site_fract_y
_atom_site_fract_z
Mg1 0.750 0.916 0.391
Cs1 0.250 0.209 0.233
Se1 0.250 0.530 0.845
Pr1 0.250 0.668 0.137
Se2 0.750 0.470 0.155
Mg2 0.250 0.084 0.609
Pr2 0.750 0.332 0.863
Se3 0.750 0.188 0.542
Se4 0.250 0.122 0.859
Se5 0.750 0.878 0.141
Cs2 0.750 0.791 0.767
Se6 0.250 0.812 0.458
# total magnetic moment: 0.00 μB/cell
# raw formation energy: -1564 meV/atom
# crystal system: monoclinic
# E: -4.5112 eV per atom

---

Entry 11:
# BaMgCu (PBE, relaxed)
data_BaMgCu
_chemical_formula_sum 'Ba1 Mg1 Cu1'
_cell_length_a 5.459
_cell_length_b 5.459
_cell_length_c 5.459
_cell_angle_alpha 60.00
_cell_angle_beta 60.00
_cell_angle_gamma 60.00
_space_group_name_H-M_alt 'P 1'
_space_group_IT_number 1
_space_group_name_Hall 'P 1'
loop_
_atom_site_label
_atom_site_fract_x
_atom_site_fract_y
_atom_site_fract_z
Cu1 0.000 0.000 0.000
Ba1 0.750 0.750 0.750
Mg1 0.500 0.500 0.500
# total magnetic moment: 0.00 μB/cell
# crystal system: cubic
# energy of formation from the pure elements: 0.5484 eV/atom
# E: -1.9894 eV per atom

---

Entry 12:
# K4Er3GeO8 (PBE, relaxed)
data_K4Er3GeO8
_chemical_formula_sum 'K4 Er3 Ge1 O8'
_cell_length_a 6.803
_cell_length_b 7.368
_cell_length_c 6.803
_cell_angle_alpha 117.49
_cell_angle_beta 120.00
_cell_angle_gamma 90.00
_space_group_name_H-M_alt 'P 1'
_space_group_IT_number 1
_space_group_name_Hall 'P 1'
loop_
_atom_site_label
_atom_site_fract_x
_atom_site_fract_y
_atom_site_fract_z
O1 0.224 0.683 0.959
K1 0.500 0.000 0.000
O2 0.265 0.317 0.041
Er1 0.500 0.500 0.500
Er2 0.000 0.500 0.500
K2 0.500 0.000 0.500
O3 0.735 0.683 0.959
Er3 0.500 0.500 0.000
O4 0.272 0.316 0.544
O5 0.776 0.317 0.552
O6 0.728 0.684 0.456
K3 0.000 0.000 0.500
O7 0.224 0.683 0.448
Ge1 0.000 0.500 0.000
O8 0.776 0.317 0.041
K4 0.000 0.000 0.000
# total magnetic moment: 0.00 μB/cell
# raw formation energy: -2381 meV/atom
# crystal system: trigonal
# E: -6.2787 eV per atom

---

> Which of these has the highest E?

BaMgCu